KZnAs | the Alexandria database | GGA-PBEsol | optimized geometry; M_tot = 0.00 μB/f.u.; total energy = -3.05 eV per atom
1.0
4.1955 0.0000 0.0000
-2.0977 3.6334 0.0000
0.0000 0.0000 10.1464
K Zn As
2 2 2
Cartesian
0.0000 0.0000 0.0000
0.0000 0.0000 5.0732
0.0000 2.4223 2.5366
2.0977 1.2111 7.6098
0.0000 2.4223 7.6098
2.0977 1.2111 2.5366


KZnAs2 | the Alexandria database | GGA-PBEsol | optimized geometry; M_tot = 0.00 μB/f.u.; total energy = -3.04 eV per atom
1.0
4.3603 0.0000 0.0000
0.0000 4.3603 0.0000
0.0000 0.0000 4.3418
K Zn As
1 1 2
Cartesian
0.0000 0.0000 0.0000
2.1801 2.1801 0.0000
0.0000 2.1801 2.1709
2.1801 0.0000 2.1709


KZn2As | the Alexandria database | GGA-PBEsol | optimized geometry; M_tot = 0.00 μB/f.u.; total energy = -2.00 eV per atom
1.0
6.0584 0.0000 0.0000
0.0000 10.8674 0.0000
0.0000 0.0000 2.6240
K Zn As
2 4 2
Cartesian
0.0000 0.0000 0.0000
3.0292 5.4337 0.0000
1.5146 2.7169 1.3120
1.5146 8.1506 1.3120
4.5438 2.7169 1.3120
4.5438 8.1506 1.3120
0.0000 5.4337 0.0000
3.0292 0.0000 0.0000


KZrAs2 | the Alexandria database | GGA-PBEsol | optimized geometry; M_tot = 0.00 μB/f.u.; total energy = -5.78 eV per atom
1.0
2.9318 0.0000 0.0000
0.0000 3.6882 0.0000
0.0000 0.0000 8.1804
K Zr As
1 1 2
Cartesian
0.0000 0.0000 0.0000
0.0000 0.0000 4.0902
1.4659 1.8441 2.4081
1.4659 1.8441 5.7724


LaAs5 | the Alexandria database | GGA-PBEsol | optimized geometry; M_tot = 0.00 μB/f.u.; total energy = -5.28 eV per atom
1.0
3.6091 0.0000 0.0000
0.0000 3.6091 0.0000
0.0000 0.0000 9.5109
La As
1 5
Cartesian
0.0000 0.0000 0.0000
0.0000 0.0000 3.0544
0.0000 0.0000 6.4564
1.8046 1.8046 1.9434
1.8046 1.8046 4.7554
1.8046 1.8046 7.5674


LaAs | the Alexandria database | GGA-PBEsol | optimized geometry; M_tot = 0.00 μB/f.u.; total energy = -6.77 eV per atom
1.0
6.1081 0.0000 0.0000
0.0000 6.1081 0.0000
0.0000 0.0000 6.1081
La As
4 4
Cartesian
0.0000 0.0000 0.0000
0.0000 3.0540 3.0540
3.0540 0.0000 3.0540
3.0540 3.0540 0.0000
0.0000 0.0000 3.0540
0.0000 3.0540 0.0000
3.0540 0.0000 0.0000
3.0540 3.0540 3.0540


LaAs | the Alexandria database | GGA-PBEsol | optimized geometry; M_tot = 0.00 μB/f.u.; total energy = -6.61 eV per atom
1.0
4.0467 0.0000 0.0000
0.0000 4.5970 0.0000
-2.0013 0.0000 5.7614
La As
2 2
Cartesian
0.0123 1.1493 1.4248
2.0331 3.4478 4.3366
0.0131 1.1493 4.4073
2.0323 3.4478 1.3541


LaAs | the Alexandria database | GGA-PBEsol | optimized geometry; M_tot = 0.00 μB/f.u.; total energy = -6.51 eV per atom
1.0
5.3237 0.0000 0.0000
0.0000 5.3237 0.0000
0.0000 0.0000 3.6002
La As
2 2
Cartesian
1.3309 1.3309 0.4489
3.9927 3.9927 3.1513
1.3309 3.9927 1.8001
3.9927 1.3309 1.8001


La3As | the Alexandria database | GGA-PBEsol | optimized geometry; M_tot = 0.00 μB/f.u.; total energy = -5.91 eV per atom
1.0
4.7472 0.0000 0.0000
0.0000 4.7472 0.0000
0.0000 0.0000 4.7472
La As
3 1
Cartesian
0.0000 0.0000 2.3736
0.0000 2.3736 0.0000
2.3736 0.0000 0.0000
2.3736 2.3736 2.3736


La2As | the Alexandria database | GGA-PBEsol | optimized geometry; M_tot = 0.00 μB/f.u.; total energy = -6.21 eV per atom
1.0
4.1238 0.0000 0.0000
0.0000 10.9816 0.0000
0.0000 0.0000 7.6128
La As
8 4
Cartesian
0.0000 0.3506 0.0000
0.0000 3.1938 1.3501
0.0000 7.7878 5.1565
0.0000 10.6310 3.8064
2.0619 2.2970 5.1565
2.0619 5.1402 3.8064
2.0619 5.8414 0.0000
2.0619 8.6845 1.3501
0.0000 4.4245 6.0217
0.0000 6.5571 2.2153
2.0619 1.0663 2.2153
2.0619 9.9153 6.0217


LaAs8 | the Alexandria database | GGA-PBEsol | optimized geometry; M_tot = 0.00 μB/f.u.; total energy = -5.12 eV per atom
1.0
-5.1088 5.1088 1.7574
5.1088 -5.1088 1.7574
5.1088 5.1088 -1.7574
La As
1 8
Cartesian
0.0000 0.0000 0.0000
3.0878 0.0000 0.0000
7.1298 0.0000 0.0000
0.0000 3.0878 0.0000
3.3224 3.3224 0.0000
1.7864 -1.7864 1.7574
-1.7864 1.7864 1.7574
1.7864 1.7864 1.7574
0.0000 7.1298 0.0000


La5As | the Alexandria database | GGA-PBEsol | optimized geometry; M_tot = 0.00 μB/f.u.; total energy = -4.93 eV per atom
1.0
6.1514 0.0000 0.0000
-3.0757 5.3273 0.0000
0.0000 0.0000 5.7699
La As
5 1
Cartesian
-1.5379 2.6636 0.0000
0.0000 3.5515 2.8850
3.0757 0.0000 0.0000
1.5379 2.6636 0.0000
3.0757 1.7758 2.8850
0.0000 0.0000 2.8850